Record 1
Computed, not measured: Sm5Sn10Rh4 after structural relaxation at the GGA-PBEsol level of DFT.

Computed properties:
Size of the total moment in μB per formula unit: 0.000
D(E_F) in states/eV per atom: 0.47
Energy of formation from the pure elements in eV/atom: -0.762
Calculated density in g/cm³: 8.91

Geometry as POSCAR:
```
Sm5Sn10Rh4
1.0
-3.719 1.613 2.043
3.353 -6.919 11.570
7.225 10.988 4.477
Sm Sn Rh
10 20 8
direct
0.000 0.000 0.000 Sm
0.500 0.890 0.390 Sm
0.500 0.110 0.610 Sm
0.500 0.390 0.110 Sm
0.500 0.823 0.677 Sm
0.500 0.177 0.323 Sm
0.500 0.610 0.890 Sm
0.500 0.677 0.177 Sm
0.500 0.323 0.823 Sm
0.000 0.500 0.500 Sm
0.000 0.070 0.430 Sn
0.000 0.930 0.570 Sn
0.500 0.662 0.504 Sn
0.000 0.155 0.802 Sn
0.000 0.655 0.698 Sn
0.000 0.345 0.302 Sn
0.000 0.302 0.655 Sn
0.500 0.996 0.838 Sn
0.500 0.338 0.496 Sn
0.500 0.504 0.338 Sn
0.000 0.430 0.930 Sn
0.000 0.802 0.845 Sn
0.000 0.698 0.345 Sn
0.500 0.838 0.004 Sn
0.000 0.845 0.198 Sn
0.500 0.162 0.996 Sn
0.000 0.570 0.070 Sn
0.000 0.198 0.155 Sn
0.500 0.496 0.662 Sn
0.500 0.004 0.162 Sn
0.000 0.527 0.253 Rh
0.000 0.253 0.473 Rh
0.000 0.473 0.747 Rh
0.000 0.753 0.027 Rh
0.000 0.027 0.247 Rh
0.000 0.973 0.753 Rh
0.000 0.747 0.527 Rh
0.000 0.247 0.973 Rh
```

=====

Record 2
Computed, not measured: BeSCl2 after structural relaxation at the GGA-PBEsol level of DFT.

Computed properties:
Size of the total moment in μB per formula unit: 0.452
D(E_F) in states/eV per atom: 0.31
Calculated density in g/cm³: 2.24
Uncorrected formation energy in kcal/mol of atoms: -9.2

Geometry as POSCAR:
```
BeSCl2
1.0
3.052 0.000 0.000
1.526 2.643 0.000
1.526 0.881 10.303
Be Cl S
1 2 1
direct
0.500 0.500 0.500 Be
0.125 0.125 0.625 Cl
0.875 0.875 0.375 Cl
0.000 0.000 0.000 S
```

=====

Record 3
Computed, not measured: KP2Ir2 after structural relaxation at the GGA-PBEsol level of DFT.

Computed properties:
Size of the total moment in μB per formula unit: 0.000
D(E_F) in states/eV per atom: 0.22
Energy of formation from the pure elements in eV/atom: -0.619
Calculated density in g/cm³: 8.19

Geometry as POSCAR:
```
KP2Ir2
1.0
-3.312 0.894 -1.892
-1.292 -3.660 0.533
-0.391 3.140 6.225
K Ir P
1 2 2
direct
0.000 0.000 0.000 K
0.250 0.750 0.500 Ir
0.750 0.250 0.500 Ir
0.650 0.650 0.299 P
0.350 0.350 0.701 P
```

=====

Record 4
Computed, not measured: Hf3Sc after structural relaxation at the GGA-PBEsol level of DFT.

Computed properties:
Size of the total moment in μB per formula unit: 0.000
D(E_F) in states/eV per atom: 0.68
Energy of formation from the pure elements in eV/atom: -0.004
Calculated density in g/cm³: 11.14

Geometry as POSCAR:
```
Hf3Sc
1.0
4.973 0.000 0.000
0.000 6.337 0.000
0.000 -3.169 5.488
Hf Sc
6 2
direct
0.750 0.833 0.167 Hf
0.250 0.167 0.333 Hf
0.250 0.667 0.833 Hf
0.750 0.333 0.167 Hf
0.750 0.833 0.667 Hf
0.250 0.167 0.833 Hf
0.750 0.333 0.667 Sc
0.250 0.667 0.333 Sc
```

=====

Record 5
Computed, not measured: Nb2AgN2 after structural relaxation at the GGA-PBEsol level of DFT.

Computed properties:
Size of the total moment in μB per formula unit: 0.000
D(E_F) in states/eV per atom: 0.55
Calculated density in g/cm³: 7.30
Uncorrected formation energy in kcal/mol of atoms: -8.0

Geometry as POSCAR:
```
Nb2AgN2
1.0
4.060 0.000 0.000
0.000 4.060 0.000
-2.030 -2.030 4.441
N Nb Ag
2 2 1
direct
0.689 0.689 0.378 N
0.311 0.311 0.622 N
0.750 0.250 0.500 Nb
0.250 0.750 0.500 Nb
0.000 0.000 0.000 Ag
```

=====

Record 6
Computed, not measured: LaW after structural relaxation at the GGA-PBEsol level of DFT.

Computed properties:
Size of the total moment in μB per formula unit: 0.000
D(E_F) in states/eV per atom: 1.42
E above lowest polymorph in eV per atom: 0.3590
Energy of formation from the pure elements in eV/atom: 0.915
Calculated density in g/cm³: 12.83

Geometry as POSCAR:
```
LaW
1.0
-0.495 -2.897 -0.153
1.355 0.808 2.484
-4.654 0.672 2.320
La W
1 1
direct
0.000 0.000 0.000 La
0.500 0.500 0.500 W
```

=====

Record 7
Computed, not measured: TcRh2 after structural relaxation at the GGA-PBEsol level of DFT.

Computed properties:
Size of the total moment in μB per formula unit: 0.000
D(E_F) in states/eV per atom: 0.94
E above lowest polymorph in eV per atom: 0.0766
Energy of formation from the pure elements in eV/atom: -0.099
Calculated density in g/cm³: 12.40

Geometry as POSCAR:
```
TcRh2
1.0
3.801 0.000 0.000
0.000 3.801 0.000
-1.900 -1.900 11.263
Rh Tc
8 4
direct
0.666 0.166 0.332 Rh
0.501 0.001 0.003 Rh
0.251 0.251 0.503 Rh
0.834 0.334 0.668 Rh
0.416 0.416 0.832 Rh
0.749 0.749 0.497 Rh
0.999 0.499 0.997 Rh
0.584 0.584 0.168 Rh
0.336 0.836 0.672 Tc
0.086 0.086 0.172 Tc
0.914 0.914 0.828 Tc
0.164 0.664 0.328 Tc
```

=====

Record 8
Computed, not measured: SrLi3P after structural relaxation at the GGA-PBEsol level of DFT.

Computed properties:
Size of the total moment in μB per formula unit: 0.001
D(E_F) in states/eV per atom: 0.48
E above lowest polymorph in eV per atom: 0.0000
Energy of formation from the pure elements in eV/atom: -0.316
Calculated density in g/cm³: 2.08

Geometry as POSCAR:
```
SrLi3P
1.0
-2.777 3.652 1.452
-2.618 -3.045 2.652
2.931 0.740 3.744
Li P Sr
3 1 1
direct
0.000 0.500 0.000 Li
0.000 0.000 0.500 Li
0.500 0.000 0.000 Li
0.000 0.000 0.000 P
0.500 0.500 0.500 Sr
```

=====

Record 9
Computed, not measured: KCoAs2 after structural relaxation at the GGA-PBEsol level of DFT.

Computed properties:
Size of the total moment in μB per formula unit: 1.548
D(E_F) in states/eV per atom: 1.42
E above lowest polymorph in eV per atom: 0.3514
Energy of formation from the pure elements in eV/atom: 0.634
Calculated density in g/cm³: 5.54

Geometry as POSCAR:
```
KCoAs2
1.0
4.151 0.000 0.000
0.000 4.229 0.000
0.000 0.000 4.229
Co As K
1 2 1
direct
0.500 0.500 0.500 Co
0.000 0.000 0.500 As
0.000 0.500 0.000 As
0.500 0.000 0.000 K
```

=====

Record 10
Computed, not measured: Bi2Ir2O7 after structural relaxation at the GGA-PBEsol level of DFT.

Computed properties:
Size of the total moment in μB per formula unit: 0.000
D(E_F) in states/eV per atom: 0.42
Calculated density in g/cm³: 11.07
Uncorrected formation energy in kcal/mol of atoms: -24.2

Geometry as POSCAR:
```
Bi2Ir2O7
1.0
-5.841 -2.973 3.199
0.855 -5.193 5.049
-1.455 1.444 6.999
O Ir Bi
14 4 4
direct
0.794 0.794 0.206 O
0.044 0.456 0.044 O
0.206 0.794 0.794 O
0.750 0.750 0.750 O
0.206 0.794 0.206 O
0.794 0.206 0.206 O
0.500 0.500 0.500 O
0.456 0.044 0.044 O
0.044 0.044 0.456 O
0.206 0.206 0.794 O
0.794 0.206 0.794 O
0.044 0.456 0.456 O
0.456 0.044 0.456 O
0.456 0.456 0.044 O
0.625 0.125 0.125 Ir
0.125 0.125 0.125 Ir
0.125 0.125 0.625 Ir
0.125 0.625 0.125 Ir
0.125 0.625 0.625 Bi
0.625 0.625 0.125 Bi
0.625 0.125 0.625 Bi
0.625 0.625 0.625 Bi
```

=====

Record 11
Computed, not measured: LiRhSe after structural relaxation at the GGA-PBEsol level of DFT.

Computed properties:
Size of the total moment in μB per formula unit: 0.000
D(E_F) in states/eV per atom: 0.88
Calculated density in g/cm³: 6.61
Uncorrected formation energy in kcal/mol of atoms: -8.4

Geometry as POSCAR:
```
LiRhSe
1.0
-3.431 -1.583 -1.495
-0.014 -1.700 -3.691
-0.383 -4.028 -0.381
Li Se Rh
1 1 1
direct
0.500 0.500 0.500 Li
0.000 0.000 0.000 Se
0.250 0.250 0.250 Rh
```

=====

Record 12
Computed, not measured: KTlN3 after structural relaxation at the GGA-PBEsol level of DFT.

Computed properties:
Size of the total moment in μB per formula unit: 4.532
D(E_F) in states/eV per atom: 0.60
Calculated density in g/cm³: 5.22
Uncorrected formation energy in kcal/mol of atoms: 42.5

Geometry as POSCAR:
```
KTlN3
1.0
-2.585 3.567 -0.896
-1.297 0.141 4.302
3.441 2.732 0.948
K N Tl
1 3 1
direct
0.500 0.500 0.500 K
0.000 0.500 0.000 N
0.500 0.000 0.000 N
0.000 0.000 0.500 N
0.000 0.000 0.000 Tl
```